First-principles (PBE) data for a relaxed SrSbTe2O8 crystal, as listed in the Alexandria database.

POSCAR file:
```
SrSbTe2O8
1.0
3.7360 -3.3823 0.0000
3.7360 3.3823 0.0000
-0.3301 0.0000 7.3881
Sr Sb Te O
1 1 2 8
direct
0.0000 0.0000 0.0000
0.0000 0.0000 0.5000
0.4534 0.4534 0.7319
0.5466 0.5466 0.2681
0.1688 0.7826 0.7044
0.2174 0.8312 0.2956
0.2751 0.2751 0.5342
0.3180 0.3180 0.9373
0.6820 0.6820 0.0627
0.7249 0.7249 0.4658
0.7826 0.1688 0.7044
0.8312 0.2174 0.2956
```

Output
V	186.7	Å³/f.u.
raw formation energy	-1.3969	eV/atom